VASP calculation (PBE-GGA) on a geometry-optimized BaCd2Sb structure.

The structure in POSCAR format:
```
BaCd2Sb
1.0
4.8559 0.0182 -0.4265
-0.0757 7.0025 -0.5993
-2.0324 -5.0071 4.4796
Cd Sb Ba
2 1 1
Cartesian
2.8038 -4.5381 3.8131
0.1432 2.7128 1.7069
2.4102 3.0580 -0.2728
2.6042 -0.6975 1.7467
```

Summary:
- formation energy without anion corrections (eV/f.u.) = -1.65
- calculated density (g/cm3) = 6.11